Record 1
Compound: Sc5PaCu4
Source: Alexandria
Functional: PBE-GGA
Structure: optimized geometry

Values from the calculation:
**Space-group type**: P4/mmm, No. 123
**Formation energy**: -0.202 eV per atom
**N(E_F)**: 7.47 states/eV/f.u.

extended XYZ file:
```
10
Lattice="-0.7334 2.9386 -1.0604 -3.1170 -0.6152 0.4511 1.1882 6.4184 16.9643" Properties=species:S:1:pos:R:3 pbc="T T T"
Sc -1.7662 2.0208 1.9659
Sc -1.5489 3.1946 5.0685
Sc -1.3311 4.3709 8.1775
Sc -1.1134 5.5472 11.2865
Sc -0.8961 6.7210 14.3891
Pa 0.0000 0.0000 0.0000
Cu 0.2683 1.4494 3.8310
Cu 0.4852 2.6211 6.9278
Cu 0.7030 3.7973 10.0365
Cu 0.9199 4.9689 13.1333
```

---

Record 2
Compound: Tl2ReIr
Source: Alexandria
Functional: PBE-GGA
Structure: optimized geometry

Values from the calculation:
**Space-group type**: C2/m, No. 12
**Formation energy**: 0.973 eV per atom
**N(E_F)**: 2.75 states/eV/f.u.

extended XYZ file:
```
4
Lattice="5.4116 -0.0003 -0.0010 -2.6999 4.9515 -0.0053 0.0118 0.8918 2.8291" Properties=species:S:1:pos:R:3 pbc="T T T"
Ir -1.3440 2.9216 1.4119
Re 1.3559 2.4756 -0.0031
Tl 0.0000 0.0000 0.0000
Tl 2.7117 0.4458 1.4140
```

---

Record 3
Compound: Hf2SbTe2
Source: Alexandria
Functional: PBE-GGA
Structure: optimized geometry

Values from the calculation:
**Space-group type**: I4/mmm, No. 139
**Formation energy without anion corrections**: -0.174 eV per formula unit
**N(E_F)**: 4.72 states/eV/f.u.

extended XYZ file:
```
5
Lattice="-3.5283 -1.1906 2.5232 2.7891 -1.4042 3.2376 -0.4732 4.8331 5.6285" Properties=species:S:1:pos:R:3 pbc="T T T"
Sb 0.0000 0.0000 0.0000
Te -2.1855 1.1725 5.5160
Te 0.9732 1.0658 5.8732
Hf -0.3928 0.0787 3.4972
Hf -0.8195 2.1596 7.8920
```